# MgIrPb

Crystalline MgIrPb at its relaxed geometry (PBEsol, the Alexandria database).

Cell and atoms, written as POSCAR:
```
MgIrPb
1.0
-1.383 -2.591 1.189
-0.256 -1.203 -2.920
6.190 -0.696 1.463
Ir Mg Pb
1 1 1
direct
0.992 0.992 0.984 Ir
0.366 0.366 0.733 Mg
0.642 0.642 0.283 Pb
```

Properties
Electronic total energy = -5.165 eV per atom
Density of states at the Fermi level = 0.387 states/eV per atom
ρ = 11.69 Mg/m³

***

# MgIr2Pb

Crystalline MgIr2Pb at its relaxed geometry (PBEsol, the Alexandria database).

Cell and atoms, written as POSCAR:
```
MgIr2Pb
1.0
-0.147 0.873 2.874
-4.792 1.150 -0.595
1.036 -5.196 0.059
Ir Mg Pb
2 1 1
direct
0.984 0.077 0.968 Ir
0.267 0.675 0.534 Ir
0.515 0.572 0.030 Mg
0.734 0.176 0.468 Pb
```

Properties
Electronic total energy = -6.224 eV per atom
Density of states at the Fermi level = 0.391 states/eV per atom
ρ = 14.98 Mg/m³

***

# Mg2IrPb

Crystalline Mg2IrPb at its relaxed geometry (PBEsol, the Alexandria database).

Cell and atoms, written as POSCAR:
```
Mg2IrPb
1.0
-1.285 2.636 1.828
-3.419 0.442 -3.041
-2.558 -2.939 2.440
Ir Mg Pb
1 2 1
direct
0.500 0.500 0.500 Ir
0.000 0.500 0.000 Mg
0.000 0.000 0.500 Mg
0.500 0.000 0.000 Pb
```

Properties
Electronic total energy = -4.309 eV per atom
Density of states at the Fermi level = 0.362 states/eV per atom
ρ = 10.19 Mg/m³

***

# Mg2IrPb

Crystalline Mg2IrPb at its relaxed geometry (PBEsol, the Alexandria database).

Cell and atoms, written as POSCAR:
```
Mg2IrPb
1.0
3.189 0.000 0.000
0.000 3.189 0.000
0.000 0.000 7.732
Pb Mg Ir
1 2 1
direct
0.500 0.500 0.500 Pb
0.000 0.000 0.187 Mg
0.000 0.000 0.813 Mg
0.500 0.500 0.000 Ir
```

Properties
Electronic total energy = -4.499 eV per atom
Density of states at the Fermi level = 0.418 states/eV per atom
ρ = 9.46 Mg/m³

***

# MgIr2Pb

Crystalline MgIr2Pb at its relaxed geometry (PBEsol, the Alexandria database).

Cell and atoms, written as POSCAR:
```
MgIr2Pb
1.0
2.931 0.000 0.028
0.000 4.544 0.000
-0.136 0.000 5.206
Ir Mg Pb
2 1 1
direct
0.765 0.000 0.782 Ir
0.235 0.000 0.218 Ir
0.500 0.500 0.000 Mg
0.000 0.500 0.500 Pb
```

Properties
Electronic total energy = -6.061 eV per atom
Density of states at the Fermi level = 0.693 states/eV per atom
ρ = 14.75 Mg/m³

***

# MgIr2Pb

Crystalline MgIr2Pb at its relaxed geometry (PBEsol, the Alexandria database).

Cell and atoms, written as POSCAR:
```
MgIr2Pb
1.0
-0.831 -2.537 1.262
1.563 -1.115 2.243
-4.904 3.391 7.045
Ir Mg Pb
2 1 1
direct
0.244 0.244 0.268 Ir
0.756 0.756 0.732 Ir
0.500 0.500 0.500 Mg
0.000 0.000 0.000 Pb
```

Properties
Electronic total energy = -6.020 eV per atom
Density of states at the Fermi level = 0.598 states/eV per atom
ρ = 14.93 Mg/m³

***

# MgIrPd2Ru

Crystalline MgIrPd2Ru at its relaxed geometry (PBEsol, the Alexandria database).

Cell and atoms, written as POSCAR:
```
MgIrPd2Ru
1.0
4.322 0.000 0.000
0.000 4.322 0.000
0.000 0.000 4.510
Ru Mg Ir Pd
1 1 1 2
direct
0.000 0.000 0.500 Ru
0.000 0.000 0.000 Mg
0.500 0.500 0.500 Ir
0.000 0.500 0.000 Pd
0.500 0.000 0.000 Pd
```

Properties
Electronic total energy = -5.187 eV per atom
Density of states at the Fermi level = 0.934 states/eV per atom
ρ = 10.46 Mg/m³

***

# SrMg2IrPd

Crystalline SrMg2IrPd at its relaxed geometry (PBEsol, the Alexandria database).

Cell and atoms, written as POSCAR:
```
SrMg2IrPd
1.0
-3.807 -1.071 -2.712
-0.377 -4.242 2.205
-3.254 2.210 3.694
Sr Mg Ir Pd
1 2 1 1
direct
0.000 0.000 0.500 Sr
0.000 0.500 0.000 Mg
0.500 0.000 0.000 Mg
0.500 0.500 0.500 Ir
0.000 0.000 0.000 Pd
```

Properties
Electronic total energy = -3.741 eV per atom
Density of states at the Fermi level = 0.595 states/eV per atom
ρ = 5.82 Mg/m³

***

# MgIr2Pt

Crystalline MgIr2Pt at its relaxed geometry (PBEsol, the Alexandria database).

Cell and atoms, written as POSCAR:
```
MgIr2Pt
1.0
2.741 0.000 0.000
0.000 4.728 0.000
-1.370 -0.772 4.501
Ir Mg Pt
2 1 1
direct
0.250 0.254 0.501 Ir
0.750 0.746 0.499 Ir
0.500 0.000 0.000 Mg
0.000 0.500 0.000 Pt
```

Properties
Electronic total energy = -7.299 eV per atom
Density of states at the Fermi level = 0.814 states/eV per atom
ρ = 17.19 Mg/m³

***

# MgIr2Pt

Crystalline MgIr2Pt at its relaxed geometry (PBEsol, the Alexandria database).

Cell and atoms, written as POSCAR:
```
MgIr2Pt
1.0
2.750 0.000 0.000
0.000 4.710 -0.011
0.000 -1.490 4.481
Ir Mg Pt
2 1 1
direct
0.000 0.000 0.000 Ir
0.500 0.500 0.000 Ir
0.500 0.000 0.500 Mg
0.000 0.500 0.500 Pt
```

Properties
Electronic total energy = -7.364 eV per atom
Density of states at the Fermi level = 0.811 states/eV per atom
ρ = 17.29 Mg/m³

***

# RbMg2Ir

Crystalline RbMg2Ir at its relaxed geometry (PBEsol, the Alexandria database).

Cell and atoms, written as POSCAR:
```
RbMg2Ir
1.0
4.938 0.000 0.000
2.469 4.276 0.000
2.469 1.425 4.032
Mg Ir Rb
2 1 1
direct
0.250 0.250 0.250 Mg
0.750 0.750 0.750 Mg
0.500 0.500 0.500 Ir
0.000 0.000 0.000 Rb
```

Properties
Density of states at the Fermi level = 0.326 states/eV per atom
E above lowest polymorph = 0.0000 eV per atom
ρ = 6.36 Mg/m³

***

# RbMg2Ir

Crystalline RbMg2Ir at its relaxed geometry (PBEsol, the Alexandria database).

Cell and atoms, written as POSCAR:
```
RbMg2Ir
1.0
6.013 0.000 0.000
0.000 6.013 0.000
-3.006 -3.006 7.956
Mg Ir Rb
4 2 2
direct
0.625 0.875 0.750 Mg
0.125 0.875 0.750 Mg
0.125 0.875 0.250 Mg
0.125 0.375 0.250 Mg
0.000 0.000 0.000 Ir
0.250 0.750 0.500 Ir
0.500 0.500 0.000 Rb
0.750 0.250 0.500 Rb
```

Properties
Density of states at the Fermi level = 0.299 states/eV per atom
E above lowest polymorph = 0.0495 eV per atom
ρ = 3.77 Mg/m³

***

# MgReIr2

Crystalline MgReIr2 at its relaxed geometry (PBEsol, the Alexandria database).

Cell and atoms, written as POSCAR:
```
MgReIr2
1.0
2.794 0.000 0.000
0.000 2.794 0.000
0.000 0.000 7.538
Re Mg Ir
1 1 2
direct
0.500 0.500 0.500 Re
0.500 0.500 0.000 Mg
0.000 0.000 0.737 Ir
0.000 0.000 0.263 Ir
```

Properties
Electronic total energy = -8.950 eV per atom
Density of states at the Fermi level = 0.461 states/eV per atom
ρ = 16.79 Mg/m³

***

# MgReIr2

Crystalline MgReIr2 at its relaxed geometry (PBEsol, the Alexandria database).

Cell and atoms, written as POSCAR:
```
MgReIr2
1.0
4.350 0.000 0.000
2.175 3.768 0.000
2.175 1.256 3.552
Ir Mg Re
2 1 1
direct
0.000 0.000 0.000 Ir
0.750 0.750 0.750 Ir
0.500 0.500 0.500 Mg
0.250 0.250 0.250 Re
```

Properties
Electronic total energy = -8.397 eV per atom
Density of states at the Fermi level = 1.400 states/eV per atom
ρ = 16.97 Mg/m³

***

# MgReIr2

Crystalline MgReIr2 at its relaxed geometry (PBEsol, the Alexandria database).

Cell and atoms, written as POSCAR:
```
MgReIr2
1.0
2.764 0.000 0.000
0.000 3.779 0.000
0.000 0.000 5.577
Ir Mg Re
2 1 1
direct
0.000 0.000 0.741 Ir
0.000 0.000 0.259 Ir
0.500 0.500 0.000 Mg
0.500 0.500 0.500 Re
```

Properties
Electronic total energy = -8.796 eV per atom
Density of states at the Fermi level = 0.765 states/eV per atom
ρ = 16.96 Mg/m³

***

# MgReIr4

Crystalline MgReIr4 at its relaxed geometry (PBEsol, the Alexandria database).

Cell and atoms, written as POSCAR:
```
MgReIr4
1.0
5.092 0.000 0.000
2.546 4.410 0.000
2.546 1.470 4.158
Ir Mg Re
4 1 1
direct
0.375 0.375 0.375 Ir
0.375 0.375 0.874 Ir
0.874 0.375 0.375 Ir
0.375 0.874 0.375 Ir
0.750 0.750 0.750 Mg
0.000 0.000 0.000 Re
```

Properties
Electronic total energy = -8.694 eV per atom
Density of states at the Fermi level = 0.960 states/eV per atom
ρ = 17.42 Mg/m³

***

# MgIr3Rh

Crystalline MgIr3Rh at its relaxed geometry (PBEsol, the Alexandria database).

Cell and atoms, written as POSCAR:
```
MgIr3Rh
1.0
-0.388 -4.620 -0.484
3.671 -0.007 -2.874
2.847 -0.620 3.639
Mg Ir Rh
1 3 1
direct
0.500 0.500 0.500 Mg
0.000 0.500 0.000 Ir
0.000 0.000 0.500 Ir
0.500 0.000 0.000 Ir
0.000 0.000 0.000 Rh
```

Properties
Electronic total energy = -6.174 eV per atom
Density of states at the Fermi level = 1.761 states/eV per atom
ρ = 11.54 Mg/m³

***

# Mg2IrRh

Crystalline Mg2IrRh at its relaxed geometry (PBEsol, the Alexandria database).

Cell and atoms, written as POSCAR:
```
Mg2IrRh
1.0
-1.423 -3.314 -2.455
-2.609 -3.037 1.734
-4.197 -0.199 -1.175
Mg Ir Rh
2 1 1
direct
0.250 0.250 0.250 Mg
0.750 0.750 0.750 Mg
0.000 0.000 0.000 Ir
0.500 0.500 0.500 Rh
```

Properties
Electronic total energy = -5.630 eV per atom
Density of states at the Fermi level = 0.939 states/eV per atom
ρ = 9.72 Mg/m³

***

# Mg2IrRh

Crystalline Mg2IrRh at its relaxed geometry (PBEsol, the Alexandria database).

Cell and atoms, written as POSCAR:
```
Mg2IrRh
1.0
2.846 0.000 0.000
0.000 4.653 -0.018
-1.423 -1.867 4.591
Mg Ir Rh
2 1 1
direct
0.016 0.072 0.031 Mg
0.234 0.676 0.468 Mg
0.767 0.188 0.533 Ir
0.484 0.564 0.968 Rh
```

Properties
Electronic total energy = -5.681 eV per atom
Density of states at the Fermi level = 0.284 states/eV per atom
ρ = 9.40 Mg/m³

***

# Mg2IrRh

Crystalline Mg2IrRh at its relaxed geometry (PBEsol, the Alexandria database).

Cell and atoms, written as POSCAR:
```
Mg2IrRh
1.0
-2.100 2.234 -0.292
-0.756 -1.075 -2.786
-4.264 -3.673 2.574
Mg Ir Rh
2 1 1
direct
0.000 0.000 0.752 Mg
0.000 0.000 0.248 Mg
0.500 0.500 0.500 Ir
0.500 0.500 0.000 Rh
```

Properties
Electronic total energy = -5.629 eV per atom
Density of states at the Fermi level = 0.993 states/eV per atom
ρ = 9.72 Mg/m³